15
Lattice="0.0000 5.9059 5.9059 5.9059 0.0000 5.9059 5.9059 5.9059 0.0000" Properties=species:S:1:pos:R:3 comment="Ce6ScSe8 (PBE-GGA, optimized geometry)" vol_a3_per_cell=412 crystal_system=cubic total_energy_ha_per_atom=-0.237 sg="No. 225" magnetic_moment_mub_per_atom=0.4595 pbc="T T T"
Ce 2.9530 2.9530 0.0000
Ce 2.9530 0.0000 2.9530
Ce 5.9059 2.9530 2.9530
Ce 0.0000 2.9530 2.9530
Ce 2.9530 5.9059 2.9530
Ce 2.9530 2.9530 5.9059
Sc 0.0000 0.0000 0.0000
Se 5.9059 5.9059 2.8224
Se 5.9059 2.8224 5.9059
Se 8.9894 5.9059 5.9059
Se 2.9530 2.9530 2.9530
Se 8.8589 8.8589 8.8589
Se 2.8224 5.9059 5.9059
Se 5.9059 8.9894 5.9059
Se 5.9059 5.9059 8.9894


10
Lattice="-2.0756 2.0756 14.5828 2.0756 -2.0756 14.5828 2.0756 2.0756 -14.5828" Properties=species:S:1:pos:R:3 comment="Ce4ScSe5 (PBE-GGA, optimized geometry)" vol_a3_per_cell=251 crystal_system=tetragonal total_energy_ha_per_atom=-0.239 sg="No. 139" magnetic_moment_mub_per_atom=0.3380 pbc="T T T"
Ce 0.0000 0.0000 2.8999
Ce 0.0000 0.0000 8.8115
Ce 0.0000 0.0000 20.3542
Ce 0.0000 0.0000 26.2657
Sc 0.0000 0.0000 14.5828
Se 0.0000 0.0000 0.0000
Se 0.0000 0.0000 5.8499
Se 0.0000 0.0000 11.8277
Se 0.0000 0.0000 17.3380
Se 0.0000 0.0000 23.3157


3
Lattice="4.6916 0.0000 0.0000 -2.3458 4.0631 0.0000 0.0000 0.0000 3.8070" Properties=species:S:1:pos:R:3 comment="CeScSe (PBE-GGA, optimized geometry)" vol_a3_per_cell=73 crystal_system=hexagonal total_energy_ha_per_atom=-0.221 sg="No. 187" magnetic_moment_mub_per_atom=0.8014 pbc="T T T"
Ce 0.0000 0.0000 0.0000
Sc 0.0000 2.7087 1.9035
Se 2.3458 1.3544 1.9035


19
Lattice="6.3516 3.6671 3.9312 -6.3516 3.6671 3.9312 0.0000 -7.3342 3.9312" Properties=species:S:1:pos:R:3 comment="Ce6ScSe12 (PBE-GGA, optimized geometry)" vol_a3_per_cell=549 crystal_system=trigonal total_energy_ha_per_atom=-0.225 sg="No. 148" magnetic_moment_mub_per_atom=0.1634 pbc="T T T"
Ce -3.2226 -3.0720 6.1208
Ce -4.2717 1.2548 5.6727
Ce 1.0492 -4.3268 5.6727
Ce -1.0492 4.3268 6.1208
Ce 4.2717 -1.2548 6.1208
Ce 3.2226 3.0720 5.6727
Sc 0.0000 0.0000 5.8967
Se -1.6153 -5.3214 5.1538
Se -5.4162 -1.2618 6.6396
Se -2.2656 -0.5397 4.5469
Se -3.8009 4.0596 5.1538
Se 1.6002 -1.6922 4.5469
Se -0.6653 -2.2319 7.2466
Se 0.6653 2.2319 4.5469
Se -1.6002 1.6922 7.2466
Se 3.8008 -4.0596 6.6396
Se 2.2656 0.5397 7.2466
Se 5.4162 1.2618 5.1538
Se 1.6153 5.3215 6.6396


4
Lattice="3.8899 0.0000 0.0000 -1.9449 3.3687 0.0000 0.0000 0.0000 7.2241" Properties=species:S:1:pos:R:3 comment="CeScSe2 (PBE-GGA, optimized geometry)" vol_a3_per_cell=95 crystal_system=trigonal total_energy_ha_per_atom=-0.237 sg="No. 164" magnetic_moment_mub_per_atom=0.3369 pbc="T T T"
Ce 0.0000 0.0000 0.0000
Sc 0.0000 0.0000 3.6120
Se 0.0000 2.2458 5.2097
Se 1.9449 1.1229 2.0144


14
Lattice="7.1864 0.0000 0.0000 0.0000 7.0138 0.0000 -2.3084 0.0000 7.7889" Properties=species:S:1:pos:R:3 comment="Ce2ScSe4 (PBE-GGA, optimized geometry)" vol_a3_per_cell=393 crystal_system=monoclinic total_energy_ha_per_atom=-0.228 sg="No. 11" magnetic_moment_mub_per_atom=0.3913 pbc="T T T"
Ce 1.3365 1.7535 0.4082
Ce 0.2900 1.7535 4.3043
Ce 4.5880 5.2604 3.4847
Ce 3.5415 5.2604 7.3807
Sc 0.0248 5.2604 6.3536
Sc 4.8531 1.7535 1.4353
Se -0.5324 3.5569 1.9788
Se -0.5324 6.9638 1.9788
Se 1.9648 5.2604 4.7767
Se 3.1423 5.2604 0.9514
Se 1.7356 1.7535 6.8375
Se 2.9131 1.7535 3.0122
Se 5.4104 0.0500 5.8101
Se 5.4104 3.4569 5.8101


22
Lattice="5.8631 3.3851 4.6892 -5.8631 3.3851 4.6892 0.0000 -6.7701 4.6892" Properties=species:S:1:pos:R:3 comment="Ce4ScSe6 (PBE-GGA, optimized geometry)" vol_a3_per_cell=558 crystal_system=trigonal total_energy_ha_per_atom=-0.234 sg="No. 167" magnetic_moment_mub_per_atom=0.4836 pbc="T T T"
Ce -3.6189 0.5020 5.8615
Ce 0.0000 0.0000 3.5169
Ce -2.2442 -2.8831 8.2061
Ce 1.3748 -3.3851 5.8615
Ce -1.3747 3.3851 8.2061
Ce 2.2442 2.8831 5.8615
Ce 0.0000 0.0000 10.5507
Ce 3.6189 -0.5020 8.2061
Sc 0.0000 0.0000 0.0000
Sc 0.0000 0.0000 7.0338
Se -5.0384 -1.3469 7.8189
Se -1.3528 -5.0368 6.2488
Se -1.3528 -1.7333 5.4743
Se -3.6857 3.6899 6.2488
Se -0.8247 2.0382 5.4743
Se -2.1774 0.3049 8.5934
Se 2.1774 -0.3049 5.4743
Se 0.8247 -2.0382 8.5934
Se 3.6856 -3.6899 7.8189
Se 1.3528 1.7333 8.5934
Se 1.3528 5.0368 7.8189
Se 5.0384 1.3469 6.2488


3
Lattice="-1.7863 1.7863 5.5992 1.7863 -1.7863 5.5992 1.7863 1.7863 -5.5992" Properties=species:S:1:pos:R:3 comment="CeScSe (PBE-GGA, optimized geometry)" vol_a3_per_cell=71 crystal_system=tetragonal total_energy_ha_per_atom=-0.225 sg="No. 107" magnetic_moment_mub_per_atom=0.3737 pbc="T T T"
Ce 0.0000 0.0000 0.0000
Sc 0.0000 0.0000 3.3754
Se 0.0000 0.0000 7.8214


The records above yield E_form (uncorrected) values of -1.80; -1.74; -0.76; -1.71; -1.64; -1.62; -1.73; -0.86 eV/atom, respectively.